No. 1
Crystalline Rb2NbTlS4 at its relaxed geometry. Source: Alexandria via LeMat-Bulk, functional GGA-PBE.

For the mass density, the calculation gives 3.487 g/cm3. Its magnetic moment is 0.00 μB/f.u. The value obtained for the raw total energy is -77.73 eV/cell. The calculation puts the uncorrected formation energy at -1.00 eV per atom.

The structure belongs to space group I-4 (No. 82); the cell edges are 8.1506, 8.1506 and 8.5519 Å and the angles 90.00°, 90.00° and 90.00°. Symmetry generates all atoms from Rb at (0.0000, 0.0000, 0.0000), Rb at (0.0000, 0.5000, 0.2500), Nb at (0.0000, 0.5000, 0.7500), Tl at (0.0000, 0.0000, 0.5000) and S at (0.1546, 0.6739, 0.5977).

***

No. 2
Crystalline Rb3Tm3NbS8 at its relaxed geometry. Source: Alexandria via LeMat-Bulk, functional GGA-PBE.

For the mass density, the calculation gives 4.474 g/cm3. Its magnetic moment is 1.01 μB/f.u. The value obtained for the raw total energy is -252.21 eV/cell. The calculation puts the uncorrected formation energy at -1.64 eV per atom.

The structure belongs to space group R-3m (No. 166, hexagonal axes); the cell edges are 7.8009, 7.8009 and 23.5056 Å and the angles 90.00°, 90.00° and 120.00°. Symmetry generates all atoms from Rb at (0.0000, 0.5000, 0.0000), Tm at (0.0000, 0.5000, 0.5000), Nb at (0.0000, 0.0000, 0.5000), S at (0.0000, 0.0000, 0.2300) and S at (0.0184, 0.5092, 0.2273).

***

No. 3
Crystalline Rb3U3NbS8 at its relaxed geometry. Source: Alexandria via LeMat-Bulk, functional GGA-PBE.

For the mass density, the calculation gives 5.175 g/cm3. Its magnetic moment is 10.06 μB/f.u. The value obtained for the raw total energy is -298.32 eV/cell. The calculation puts the uncorrected formation energy at -1.31 eV per atom.

The structure belongs to space group R-3m (No. 166, hexagonal axes); the cell edges are 7.8552, 7.8552 and 23.7790 Å and the angles 90.00°, 90.00° and 120.00°. Symmetry generates all atoms from Rb at (0.0000, 0.5000, 0.0000), U at (0.0000, 0.5000, 0.5000), Nb at (0.0000, 0.0000, 0.5000), S at (0.0000, 0.0000, 0.2321) and S at (0.0154, 0.5077, 0.2284).

***

No. 4
Crystalline RbNb2WS at its relaxed geometry. Source: Alexandria via LeMat-Bulk, functional GGA-PBE.

For the mass density, the calculation gives 7.554 g/cm3. Its magnetic moment is 1.12 μB/f.u. The value obtained for the raw total energy is -32.58 eV/cell. The calculation puts the uncorrected formation energy at 1.12 eV per atom.

The structure belongs to space group P4/mmm (No. 123); the cell edges are 4.8297, 4.8297 and 4.5915 Å and the angles 90.00°, 90.00° and 90.00°. Symmetry generates all atoms from Rb at (0.0000, 0.0000, 0.0000), Nb at (0.0000, 0.5000, 0.5000), W at (0.5000, 0.5000, 0.0000) and S at (0.5000, 0.5000, 0.5000).

***

No. 5
Crystalline Rb2NbZnS at its relaxed geometry. Source: Alexandria via LeMat-Bulk, functional GGA-PBE.

For the mass density, the calculation gives 2.744 g/cm3. Its magnetic moment is 4.91 μB/f.u. The value obtained for the raw total energy is -13.40 eV/cell. The calculation puts the uncorrected formation energy at 0.80 eV per atom.

The structure belongs to space group P4/mmm (No. 123); the cell edges are 6.9764, 6.9764 and 4.4930 Å and the angles 90.00°, 90.00° and 90.00°. Symmetry generates all atoms from Rb at (0.0000, 0.5000, 0.0000), Nb at (0.0000, 0.0000, 0.5000), Zn at (0.5000, 0.5000, 0.0000) and S at (0.5000, 0.5000, 0.5000).

***

No. 6
Crystalline RbZrNb2S at its relaxed geometry. Source: Alexandria via LeMat-Bulk, functional GGA-PBE.

For the mass density, the calculation gives 5.584 g/cm3. Its magnetic moment is 0.00 μB/f.u. The value obtained for the raw total energy is -20.72 eV/cell. The calculation puts the uncorrected formation energy at 2.61 eV per atom.

The structure belongs to space group P4/mmm (No. 123); the cell edges are 4.7983, 4.7983 and 5.0960 Å and the angles 90.00°, 90.00° and 90.00°. Symmetry generates all atoms from Rb at (0.0000, 0.0000, 0.0000), Zr at (0.0000, 0.0000, 0.5000), Nb at (0.0000, 0.5000, 0.0000) and S at (0.5000, 0.5000, 0.5000).

***

No. 7
Crystalline RbNbSb at its relaxed geometry. Source: Alexandria via LeMat-Bulk, functional GGA-PBE.

For the mass density, the calculation gives 5.335 g/cm3. Its magnetic moment is 0.00 μB/f.u. The value obtained for the raw total energy is -31.31 eV/cell. The calculation puts the uncorrected formation energy at -0.17 eV per atom.

The structure belongs to space group P-1 (No. 2); the cell edges are 3.6215, 3.6216 and 14.2474 Å and the angles 90.15°, 91.22° and 90.05°. Symmetry generates all atoms from Rb at (0.2218, 0.2463, 0.1571), Nb at (0.2458, 0.2492, 0.4498) and Sb at (0.2634, 0.2519, 0.6575).

***

No. 8
Crystalline RbNb3Sb at its relaxed geometry. Source: Alexandria via LeMat-Bulk, functional GGA-PBE.

For the mass density, the calculation gives 5.557 g/cm3. The calculation puts the energy above the most stable polymorph in this dataset at 0 meV per atom. Its magnetic moment is 0.01 μB/f.u. The value obtained for the raw total energy is -27.14 eV/cell. The calculation puts the uncorrected formation energy at 1.63 eV per atom.

The structure belongs to space group Pm-3m (No. 221); the cell edges are 5.2561, 5.2561 and 5.2561 Å and the angles 90.00°, 90.00° and 90.00°. Symmetry generates all atoms from Rb at (0.0000, 0.0000, 0.0000), Nb at (0.0000, 0.5000, 0.5000) and Sb at (0.5000, 0.5000, 0.5000).